No. 1
Density functional theory data (PBE-GGA) for a relaxed MgAg4Pd7 crystal.

POSCAR file:
```
MgAg4Pd7
1.0
-1.726 -4.642 -0.967
4.359 -0.617 -2.099
1.565 -8.449 5.608
Ag Pd Mg
4 7 1
direct
0.465 0.625 0.222 Ag
0.343 0.123 0.371 Ag
0.657 0.877 0.629 Ag
0.535 0.375 0.778 Ag
0.783 0.389 0.450 Pd
0.099 0.458 0.110 Pd
0.217 0.611 0.550 Pd
0.500 0.000 0.000 Pd
0.107 0.095 0.701 Pd
0.893 0.905 0.299 Pd
0.901 0.542 0.890 Pd
0.000 0.000 0.000 Mg
```

Properties
Density of states at the Fermi level = 0.62 states/eV/atom
V = 200 Å³ per cell

No. 2
Density functional theory data (PBE-GGA) for a relaxed Mg3AgPd crystal.

POSCAR file:
```
Mg3AgPd
1.0
-4.409 2.931 2.299
1.371 -4.151 7.557
5.655 4.134 5.211
Mg Pd Ag
12 4 4
direct
0.886 0.050 0.138 Mg
0.768 0.508 0.065 Mg
0.614 0.862 0.950 Mg
0.635 0.537 0.663 Mg
0.732 0.935 0.492 Mg
0.135 0.663 0.537 Mg
0.114 0.950 0.862 Mg
0.365 0.463 0.337 Mg
0.268 0.065 0.508 Mg
0.386 0.138 0.050 Mg
0.232 0.492 0.935 Mg
0.865 0.337 0.463 Mg
0.091 0.270 0.227 Pd
0.591 0.227 0.270 Pd
0.909 0.730 0.773 Pd
0.409 0.773 0.730 Pd
0.250 0.302 0.698 Ag
0.750 0.698 0.302 Ag
0.250 0.801 0.199 Ag
0.750 0.199 0.801 Ag
```

Properties
Energy above the most stable polymorph in this dataset = 0.1189 eV/atom
Density of states at the Fermi level = 0.38 states/eV/atom
V = 404 Å³ per cell

No. 3
Density functional theory data (PBE-GGA) for a relaxed Mg6Ag2Pd crystal.

POSCAR file:
```
Mg6Ag2Pd
1.0
4.744 -0.001 0.002
-2.373 4.110 0.005
0.005 -0.010 8.833
Mg Ag Pd
6 2 1
direct
0.000 0.000 0.197 Mg
0.667 0.333 0.590 Mg
0.333 0.667 0.059 Mg
0.333 0.667 0.410 Mg
0.000 0.000 0.803 Mg
0.667 0.333 0.941 Mg
0.667 0.333 0.265 Ag
0.333 0.667 0.735 Ag
0.000 0.000 0.500 Pd
```

Properties
Energy above the most stable polymorph in this dataset = 0.0000 eV/atom
Density of states at the Fermi level = 0.28 states/eV/atom
V = 172 Å³ per cell

Record order is preserved below.
E_tot: -4.193, -2.849, -2.538 eV/atom
Record order is preserved below.
Formation energy from the elements: -80, -283, -265 meV/atom